Compound: Be3VOs
Source: the Alexandria database
Functional: GGA-PBE
Structure: optimized geometry

```
data_Be3VOs
_chemical_formula_sum 'Be3 V1 Os1'
_cell_length_a 3.928
_cell_length_b 3.928
_cell_length_c 3.928
_cell_angle_alpha 90.00
_cell_angle_beta 90.00
_cell_angle_gamma 90.00
_space_group_name_H-M_alt 'P m -3 m'
_space_group_IT_number 221
_space_group_name_Hall '-P 4 2 3'
loop_
_atom_site_label
_atom_site_type_symbol
_atom_site_fract_x
_atom_site_fract_y
_atom_site_fract_z
Be1 Be 0.000 0.000 0.500
V1 V 0.000 0.000 0.000
Os1 Os 0.500 0.500 0.500
```

Computed properties:
Distance to the lowest polymorph of the same formula: 902.1 meV per atom
ΔE_f: 1.5967 eV/atom
Density of states at the Fermi level: 4.04 states/eV per cell
Magnetization: 1.705 μB/f.u.